1.
Density functional theory data (PBE-GGA) for MgTa2Mo after structural relaxation.

abc: 3.2624 4.6529 9.4962
angles: 90.00 90.00 90.00
With the nearest neighbours (Å) after each atom.
Space group Cmm2 (No. 35)
Symmetry-distinct sites (fractional):
Mg  0.0000  0.0000  0.0000 x2  4 Mg 2.84, 2 Mo 2.89, 2 Ta 3.04
Ta  0.0000  0.0000  0.5193 x2  2 Mo 2.72, 6 Ta 2.84-2.88
Ta  0.0000  0.5000  0.2698 x2  6 Ta 2.84-2.88, 2 Mg 3.04
Mo  0.0000  0.5000  0.7484 x2  2 Ta 2.72, 4 Mo 2.84, 2 Mg 2.89

Output
Volume, Å³ per atom: 18.019
Uncorrected energy, eV per cell: -71.1
Total moment, μB/f.u.: 0.00

***

2.
Density functional theory data (PBE-GGA) for MgTaMo2 after structural relaxation.

abc: 3.2833 4.5895 9.0432
angles: 90.00 90.00 90.00
With the nearest neighbours (Å) after each atom.
Space group Immm (No. 71)
Symmetry-distinct sites (fractional):
Mg  0.0000  0.0000  0.0000 x2  4 Ta 2.82, 8 Mo 2.87-3.16
Ta  0.0000  0.0000  0.5000 x2  4 Mo 2.72, 4 Mg 2.82
Mo  0.0000  0.5000  0.2397 x4  2 Ta 2.72, 4 Mo 2.83, 2 Mg 2.87

Output
Volume, Å³ per atom: 17.034
Uncorrected energy, eV per cell: -68.0
Total moment, μB/f.u.: 0.00

***

3.
Density functional theory data (PBE-GGA) for MgTa2Mo after structural relaxation.

abc: 3.6502 4.3192 4.4640
angles: 90.00 90.00 90.00
With the nearest neighbours (Å) after each atom.
Space group Pmmm (No. 47)
Symmetry-distinct sites (fractional):
Mg  0.0000  0.0000  0.0000 x1  8 Ta 2.83-3.11, 4 Mo 2.88
Ta  0.0000  0.5000  0.5000 x1  4 Mo 2.83, 4 Ta 2.88, 4 Mg 3.11
Ta  0.5000  0.5000  0.0000 x1  4 Mg 2.83, 4 Ta 2.88, 4 Mo 3.11
Mo  0.5000  0.0000  0.5000 x1  8 Ta 2.83-3.11, 4 Mg 2.88

Output
Volume, Å³ per atom: 17.595
Uncorrected energy, eV per cell: -35.0
Total moment, μB/f.u.: 0.00

***

4.
Density functional theory data (PBE-GGA) for MgTaMo after structural relaxation.

abc: 2.7047 4.5210 8.6202
angles: 90.00 90.00 90.00
With the nearest neighbours (Å) after each atom.
Space group Imm2 (No. 44)
Symmetry-distinct sites (fractional):
Mg  0.0000  0.0000  0.0000 x2  2 Mg 2.70, 5 Ta 2.85-3.01, 5 Mo 2.88-3.00
Ta  0.0000  0.0000  0.3310 x2  2 Ta 2.70, 5 Mg 2.85-3.01, 5 Mo 2.88-3.00
Mo  0.0000  0.0000  0.6656 x2  2 Mo 2.70, 5 Mg 2.88-3.00, 5 Ta 2.88-3.00

Output
Volume, Å³ per atom: 17.568
Uncorrected energy, eV per cell: -46.8
Total moment, μB/f.u.: 0.00

***

5.
Density functional theory data (PBE-GGA) for MgTa3Mo after structural relaxation.

abc: 4.8654 4.8654 4.8654
angles: 90.00 90.00 90.00
With the nearest neighbours (Å) after each atom.
Space group Pm-3m (No. 221)
Symmetry-distinct sites (fractional):
Mg  0.0000  0.0000  0.0000 x1  12 Ta 3.44
Ta  0.0000  0.5000  0.5000 x3  2 Mo 2.43
Mo  0.5000  0.5000  0.5000 x1  6 Ta 2.43

Output
Volume, Å³ per atom: 23.035
Uncorrected energy, eV per cell: -41.7
Total moment, μB/f.u.: 0.00

***

6.
Density functional theory data (PBE-GGA) for MgTa2Mo after structural relaxation.

abc: 7.4564 7.4564 5.5909
angles: 90.00 90.00 90.00
With the nearest neighbours (Å) after each atom.
Space group I-42d (No. 122)
Symmetry-distinct sites (fractional):
Mg  0.0000  0.0000  0.0000 x4  2 Mo 2.80, 4 Ta 2.89
Ta  0.2193  0.2500  0.6250 x8  2 Mo 2.58, 2 Ta 2.83
Mo  0.0000  0.0000  0.5000 x4  4 Ta 2.58, 2 Mg 2.80

Output
Volume, Å³ per atom: 19.428
Uncorrected energy, eV per cell: -131.7
Total moment, μB/f.u.: 0.00

***

7.
Density functional theory data (PBE-GGA) for MgTa2Mo after structural relaxation.

abc: 2.7816 4.6799 5.5646
angles: 90.00 100.30 90.00
With the nearest neighbours (Å) after each atom.
Space group Pm (No. 6)
Symmetry-distinct sites (fractional):
Mg  0.0000  0.0000  0.0000 x1  2 Mg 2.78, 2 Mo 2.87, 4 Ta 2.88-2.93
Ta  0.2582  0.5000  0.7315 x1  2 Mo 2.73-3.02, 4 Ta 2.78-2.91, 2 Mg 2.93
Ta  0.5666  0.0000  0.4878 x1  2 Mo 2.78, 4 Ta 2.78-2.91, 2 Mg 2.88-2.89
Mo  0.7788  0.5000  0.2576 x1  4 Ta 2.73-3.02, 2 Mo 2.78, 2 Mg 2.87

Output
Volume, Å³ per atom: 17.817
Uncorrected energy, eV per cell: -35.4
Total moment, μB/f.u.: 0.00

***

8.
Density functional theory data (PBE-GGA) for MgTaMo2 after structural relaxation.

abc: 2.7395 4.5768 5.5100
angles: 90.00 100.00 90.00
With the nearest neighbours (Å) after each atom.
Space group P2/m (No. 10)
Symmetry-distinct sites (fractional):
Mg  0.0000  0.0000  0.0000 x1  2 Mg 2.74, 4 Mo 2.84, 2 Ta 2.86
Ta  0.5000  0.0000  0.5000 x1  2 Ta 2.74, 4 Mo 2.79, 2 Mg 2.86
Mo  0.2442  0.5000  0.7401 x2  4 Mo 2.74-2.96, 2 Ta 2.79, 2 Mg 2.84

Output
Volume, Å³ per atom: 17.009
Uncorrected energy, eV per cell: -34.3
Total moment, μB/f.u.: 0.00

***

9.
Density functional theory data (PBE-GGA) for MgTa2Mo after structural relaxation.

abc: 3.4171 4.7257 8.9165
angles: 90.00 90.00 90.00
With the nearest neighbours (Å) after each atom.
Space group Immm (No. 71)
Symmetry-distinct sites (fractional):
Mg  0.0000  0.0000  0.0000 x2  4 Mo 2.92, 8 Ta 2.98-3.11
Ta  0.0000  0.5000  0.2264 x4  2 Mo 2.64, 4 Ta 2.95
Mo  0.0000  0.0000  0.5000 x2  4 Ta 2.64, 4 Mg 2.92

Output
Volume, Å³ per atom: 17.998
Uncorrected energy, eV per cell: -70.5
Total moment, μB/f.u.: 0.00

***

10.
Density functional theory data (PBE-GGA) for MgTa2Mo after structural relaxation.

abc: 2.7303 4.5585 5.7620
angles: 90.00 90.00 90.00
With the nearest neighbours (Å) after each atom.
Space group Pmm2 (No. 25)
Symmetry-distinct sites (fractional):
Mg  0.0000  0.0000  0.0000 x1  2 Mg 2.73, 6 Ta 2.84-3.04, 4 Mo 3.03
Ta  0.0000  0.0000  0.4935 x1  6 Ta 2.73-3.03, 2 Mg 2.84-2.92, 4 Mo 2.99
Ta  0.5000  0.5000  0.7447 x1  6 Ta 2.73-3.03, 2 Mo 2.83-2.94, 4 Mg 3.04
Mo  0.5000  0.5000  0.2543 x1  2 Mo 2.73, 6 Ta 2.83-2.99, 4 Mg 3.03

Output
Volume, Å³ per atom: 17.928
Uncorrected energy, eV per cell: -35.0
Total moment, μB/f.u.: 0.00

***

11.
Density functional theory data (PBE-GGA) for MgTaMo after structural relaxation.

abc: 3.3801 3.3801 9.6751
angles: 90.00 90.00 90.00
With the nearest neighbours (Å) after each atom.
Space group I4mm (No. 107)
Symmetry-distinct sites (fractional):
Mg  0.0000  0.0000  0.0000 x2  5 Ta 2.95-3.04, 5 Mo 2.97-3.07
Ta  0.0000  0.0000  0.3052 x2  4 Mo 2.67, 1 Mg 2.95
Mo  0.0000  0.0000  0.6827 x2  4 Ta 2.67, 4 Mg 2.97

Output
Volume, Å³ per atom: 18.424
Uncorrected energy, eV per cell: -47.1
Total moment, μB/f.u.: 0.00

***

12.
Density functional theory data (PBE-GGA) for MgTaMo3 after structural relaxation.

abc: 4.5350 4.5350 4.5350
angles: 90.00 90.00 90.00
With the nearest neighbours (Å) after each atom.
Space group Pm-3m (No. 221)
Symmetry-distinct sites (fractional):
Mg  0.0000  0.0000  0.0000 x1  6 Mo 2.27
Ta  0.5000  0.5000  0.5000 x1  12 Mo 3.21
Mo  0.0000  0.0000  0.5000 x3  2 Mg 2.27

Output
Volume, Å³ per atom: 18.653
Uncorrected energy, eV per cell: -36.0
Total moment, μB/f.u.: 0.00

***

13.
Density functional theory data (PBE-GGA) for MgTaMo2 after structural relaxation.

abc: 5.6093 9.1119 2.6753
angles: 90.00 90.00 90.00
With the nearest neighbours (Å) after each atom.
Space group Cmmm (No. 65)
Symmetry-distinct sites (fractional):
Mg  0.0000  0.0000  0.0000 x2  2 Mg 2.68, 2 Ta 2.80, 8 Mo 2.99
Ta  0.0000  0.5000  0.0000 x2  2 Ta 2.68, 2 Mg 2.80, 8 Mo 2.99
Mo  0.2500  0.2500  0.5000 x4  4 Mo 2.68-2.80, 4 Ta 2.99, 4 Mg 2.99

Output
Volume, Å³ per atom: 17.092
Uncorrected energy, eV per cell: -67.8
Total moment, μB/f.u.: 0.00

***

14.
Density functional theory data (PBE-GGA) for MgTa2Mo after structural relaxation.

abc: 3.3349 3.3349 6.5162
angles: 90.00 90.00 90.00
With the nearest neighbours (Å) after each atom.
Space group P4mm (No. 99)
Symmetry-distinct sites (fractional):
Mg  0.0000  0.0000  0.0000 x1  4 Mo 2.91, 5 Ta 3.01-3.11
Ta  0.0000  0.0000  0.4779 x1  4 Mo 2.75, 4 Ta 2.82
Ta  0.5000  0.5000  0.7139 x1  4 Ta 2.82, 1 Mo 2.95, 4 Mg 3.01
Mo  0.5000  0.5000  0.2616 x1  5 Ta 2.75-2.95, 4 Mg 2.91

Output
Volume, Å³ per atom: 18.118
Uncorrected energy, eV per cell: -35.3
Total moment, μB/f.u.: 0.00

***

15.
Density functional theory data (PBE-GGA) for MgTa2Mo after structural relaxation.

abc: 5.7912 9.4678 2.7293
angles: 90.00 109.25 90.00
With the nearest neighbours (Å) after each atom.
Space group C2/m (No. 12)
Symmetry-distinct sites (fractional):
Mg  0.0000  0.0000  0.0000 x2  2 Mg 2.73, 4 Ta 2.87, 2 Mo 2.90
Ta  0.2500  0.2500  0.5000 x4  4 Ta 2.73-2.90, 2 Mo 2.87, 2 Mg 2.87
Mo  0.0000  0.5000  0.0000 x2  2 Mo 2.73, 4 Ta 2.87, 2 Mg 2.90

Output
Volume, Å³ per atom: 17.660
Uncorrected energy, eV per cell: -70.6
Total moment, μB/f.u.: 0.00

***

16.
Density functional theory data (PBE-GGA) for MgTa2Mo after structural relaxation.

abc: 2.7516 2.7516 9.5920
angles: 90.00 90.00 90.00
With the nearest neighbours (Å) after each atom.
Space group P4/mmm (No. 123)
Symmetry-distinct sites (fractional):
Mg  0.0000  0.0000  0.0000 x1  4 Mg 2.75
Ta  0.5000  0.5000  0.2578 x2  4 Ta 2.75, 4 Mo 3.03
Mo  0.0000  0.0000  0.5000 x1  4 Mo 2.75, 8 Ta 3.03

Output
Volume, Å³ per atom: 18.156
Uncorrected energy, eV per cell: -34.9
Total moment, μB/f.u.: 0.00

***

17.
Density functional theory data (PBE-GGA) for MgTa2Mo after structural relaxation.

abc: 3.2433 4.7662 9.4389
angles: 90.00 90.00 90.00
With the nearest neighbours (Å) after each atom.
Space group Cmmm (No. 65)
Symmetry-distinct sites (fractional):
Mg  0.0000  0.0000  0.0000 x2  4 Mg 2.88, 4 Ta 3.03
Ta  0.0000  0.5000  0.2714 x4  2 Mo 2.70, 4 Ta 2.88
Mo  0.0000  0.0000  0.5000 x2  4 Ta 2.70, 4 Mo 2.88

Output
Volume, Å³ per atom: 18.239
Uncorrected energy, eV per cell: -71.5
Total moment, μB/f.u.: 0.00

***

18.
Density functional theory data (PBE-GGA) for MgTaMo2 after structural relaxation.

abc: 2.6983 4.4991 5.6475
angles: 90.00 90.00 90.00
With the nearest neighbours (Å) after each atom.
Space group Pmm2 (No. 25)
Symmetry-distinct sites (fractional):
Mg  0.0000  0.0000  0.0000 x1  2 Mg 2.70, 6 Mo 2.79-2.99, 4 Ta 3.00
Ta  0.5000  0.5000  0.7424 x1  2 Ta 2.70, 6 Mo 2.76-2.98, 4 Mg 3.00
Mo  0.0000  0.0000  0.4932 x1  6 Mo 2.70-2.95, 2 Mg 2.79-2.86, 4 Ta 2.98
Mo  0.5000  0.5000  0.2542 x1  6 Mo 2.70-2.95, 2 Ta 2.76-2.89, 4 Mg 2.99

Output
Volume, Å³ per atom: 17.140
Uncorrected energy, eV per cell: -33.8
Total moment, μB/f.u.: 0.00

***

19.
Density functional theory data (PBE-GGA) for MgTa2Mo after structural relaxation.

abc: 6.5627 6.5627 6.5627
angles: 90.00 90.00 90.00
With the nearest neighbours (Å) after each atom.
Space group F-43m (No. 216)
Symmetry-distinct sites (fractional):
Mg  0.0000  0.0000  0.0000 x4  4 Mo 2.84, 4 Ta 2.84
Ta  0.0000  0.0000  0.5000 x4  4 Ta 2.84, 4 Mo 2.84
Ta  0.2500  0.2500  0.2500 x4  4 Ta 2.84, 4 Mg 2.84
Mo  0.2500  0.2500  0.7500 x4  4 Ta 2.84, 4 Mg 2.84

Output
Volume, Å³ per atom: 17.666
Uncorrected energy, eV per cell: -139.2
Total moment, μB/f.u.: 0.00

***

20.
Density functional theory data (PBE-GGA) for MgTa2Mo after structural relaxation.

abc: 2.7658 2.7658 9.4517
angles: 90.00 90.00 90.00
With the nearest neighbours (Å) after each atom.
Space group P4mm (No. 99)
Symmetry-distinct sites (fractional):
Mg  0.0000  0.0000  0.0000 x1  4 Mg 2.77, 4 Mo 3.01
Ta  0.0000  0.0000  0.4894 x1  8 Ta 2.77-3.04, 4 Mo 3.04
Ta  0.5000  0.5000  0.7360 x1  8 Ta 2.77-3.04
Mo  0.5000  0.5000  0.2426 x1  4 Mo 2.77, 4 Mg 3.01, 4 Ta 3.04

Output
Volume, Å³ per atom: 18.075
Uncorrected energy, eV per cell: -35.1
Total moment, μB/f.u.: 0.00

***

What did we get for D(E_F)? Answer: 1.262, 0.954, 0.921, 0.709, 0.627, 0.842, 1.044, 0.875, 0.926, 0.948, 1.101, 1.445, 0.525, 0.901, 0.942, 1.172, 0.777, 0.969, 1.053, 0.794 states/eV per atom, in the order shown.
What did we get for DFT formation energy? Answer: 139.8, 280.5, 285.6, 285.2, 1250.4, 803.8, 189.1, 200.5, 216.5, 293.7, 250.7, 1978.7, 298.3, 215.2, 207.1, 308.6, 97.8, 332.5, 333.2, 253.4 meV per atom, in the order shown.